# 1
# PBE-GGA H2IrSe, optimized geometry
# DOS(E_F) = 1.40 states/eV/f.u.
# Calculated total energy = -3.78 eV/atom
# Space-group type = Fm-3m (225)
data_H2IrSe
_symmetry_space_group_name_H-M 'P 1'
_symmetry_Int_Tables_number 1
_symmetry_space_group_name_Hall 'P 1'
_cell_length_a 3.8371
_cell_length_b 3.8371
_cell_length_c 3.8371
_cell_angle_alpha 60.00
_cell_angle_beta 60.00
_cell_angle_gamma 60.00
loop_
_atom_site_label
_atom_site_fract_x
_atom_site_fract_y
_atom_site_fract_z
H1 0.7500 0.7500 0.7500
H2 0.2500 0.2500 0.2500
Ir1 0.5000 0.5000 0.5000
Se1 0.0000 0.0000 0.0000


# 2
# PBE-GGA HIr2Se, optimized geometry
# DOS(E_F) = 3.05 states/eV/f.u.
# Calculated total energy = -5.37 eV/atom
# Space-group type = Fm-3m (225)
data_HIr2Se
_symmetry_space_group_name_H-M 'P 1'
_symmetry_Int_Tables_number 1
_symmetry_space_group_name_Hall 'P 1'
_cell_length_a 4.1663
_cell_length_b 4.1663
_cell_length_c 4.1663
_cell_angle_alpha 60.00
_cell_angle_beta 60.00
_cell_angle_gamma 60.00
loop_
_atom_site_label
_atom_site_fract_x
_atom_site_fract_y
_atom_site_fract_z
H1 0.0000 0.0000 0.0000
Ir1 0.7500 0.7500 0.7500
Se1 0.5000 0.5000 0.5000
Ir2 0.2500 0.2500 0.2500


# 3
# PBE-GGA HIrSe, optimized geometry
# DOS(E_F) = 0.05 states/eV/f.u.
# Calculated total energy = -5.29 eV/atom
# Space-group type = P2_1 (4)
data_HIrSe
_symmetry_space_group_name_H-M 'P 1'
_symmetry_Int_Tables_number 1
_symmetry_space_group_name_Hall 'P 1'
_cell_length_a 3.5197
_cell_length_b 4.0936
_cell_length_c 6.9158
_cell_angle_alpha 90.00
_cell_angle_beta 101.47
_cell_angle_gamma 90.00
loop_
_atom_site_label
_atom_site_fract_x
_atom_site_fract_y
_atom_site_fract_z
H1 0.1449 0.6113 0.7302
H2 0.8551 0.1113 0.2698
Ir1 0.2227 0.8245 0.9302
Se1 0.6493 0.0994 0.7424
Ir2 0.7773 0.3245 0.0698
Se2 0.3507 0.5994 0.2576


# 4
# PBE-GGA HIrSe, optimized geometry
# DOS(E_F) = 0.44 states/eV/f.u.
# Calculated total energy = -5.24 eV/atom
# Space-group type = P2_1/c (14)
data_HIrSe
_symmetry_space_group_name_H-M 'P 1'
_symmetry_Int_Tables_number 1
_symmetry_space_group_name_Hall 'P 1'
_cell_length_a 5.6654
_cell_length_b 5.7141
_cell_length_c 6.8601
_cell_angle_alpha 117.92
_cell_angle_beta 90.00
_cell_angle_gamma 90.00
loop_
_atom_site_label
_atom_site_fract_x
_atom_site_fract_y
_atom_site_fract_z
Ir1 0.6953 0.7598 0.9687
Ir2 0.3047 0.2402 0.0313
Se1 0.0449 0.5775 0.2874
H1 0.5562 0.4298 0.1455
H2 0.4438 0.5702 0.8545
Ir3 0.8047 0.2598 0.9687
Ir4 0.1953 0.7402 0.0313
Se2 0.9551 0.4225 0.7126
Se3 0.4551 0.0775 0.2874
H3 0.0562 0.0702 0.8545
H4 0.9438 0.9298 0.1455
Se4 0.5449 0.9225 0.7126


# 5
# PBE-GGA HIrSe, optimized geometry
# DOS(E_F) = 0.53 states/eV/f.u.
# Calculated total energy = -5.24 eV/atom
# Space-group type = P-1 (2)
data_HIrSe
_symmetry_space_group_name_H-M 'P 1'
_symmetry_Int_Tables_number 1
_symmetry_space_group_name_Hall 'P 1'
_cell_length_a 3.7244
_cell_length_b 4.6721
_cell_length_c 6.2509
_cell_angle_alpha 70.27
_cell_angle_beta 76.68
_cell_angle_gamma 79.93
loop_
_atom_site_label
_atom_site_fract_x
_atom_site_fract_y
_atom_site_fract_z
Ir1 0.1846 0.2042 0.0317
Se1 0.5716 0.3290 0.2522
H1 0.9513 0.1613 0.8145
H2 0.0487 0.8387 0.1855
Se2 0.4284 0.6710 0.7478
Ir2 0.8154 0.7958 0.9683


# 6
# PBE-GGA HIr2Se, optimized geometry
# DOS(E_F) = 2.08 states/eV/f.u.
# Calculated total energy = -5.85 eV/atom
# Space-group type = I-42d (122)
data_HIr2Se
_symmetry_space_group_name_H-M 'P 1'
_symmetry_Int_Tables_number 1
_symmetry_space_group_name_Hall 'P 1'
_cell_length_a 4.8561
_cell_length_b 4.8561
_cell_length_c 5.8346
_cell_angle_alpha 65.41
_cell_angle_beta 65.41
_cell_angle_gamma 90.00
loop_
_atom_site_label
_atom_site_fract_x
_atom_site_fract_y
_atom_site_fract_z
Ir1 0.5178 0.1250 0.2500
Se1 0.7500 0.2500 0.5000
Ir2 0.3750 0.4822 0.7500
Ir3 0.2322 0.6250 0.2500
Ir4 0.8750 0.7678 0.7500
H1 0.2500 0.7500 0.5000
H2 0.5000 0.5000 0.0000
Se2 0.0000 0.0000 0.0000


# 7
# PBE-GGA H2IrSe, optimized geometry
# DOS(E_F) = 1.54 states/eV/f.u.
# Calculated total energy = -4.66 eV/atom
# Space-group type = Amm2 (38)
data_H2IrSe
_symmetry_space_group_name_H-M 'P 1'
_symmetry_Int_Tables_number 1
_symmetry_space_group_name_Hall 'P 1'
_cell_length_a 4.6777
_cell_length_b 5.0264
_cell_length_c 2.7375
_cell_angle_alpha 90.00
_cell_angle_beta 90.00
_cell_angle_gamma 117.78
loop_
_atom_site_label
_atom_site_fract_x
_atom_site_fract_y
_atom_site_fract_z
Ir1 0.5432 0.2928 0.0000
H1 0.4173 0.0417 0.5000
Se1 0.9602 0.1273 0.0000
H2 0.6701 0.5461 0.5000


# 8
# PBE-GGA HIrSe, optimized geometry
# DOS(E_F) = 0.61 states/eV/f.u.
# Calculated total energy = -5.23 eV/atom
# Space-group type = P2_1/m (11)
data_HIrSe
_symmetry_space_group_name_H-M 'P 1'
_symmetry_Int_Tables_number 1
_symmetry_space_group_name_Hall 'P 1'
_cell_length_a 4.0967
_cell_length_b 3.6230
_cell_length_c 6.5457
_cell_angle_alpha 90.00
_cell_angle_beta 100.08
_cell_angle_gamma 90.00
loop_
_atom_site_label
_atom_site_fract_x
_atom_site_fract_y
_atom_site_fract_z
H1 0.8943 0.2500 0.7690
Se1 0.3806 0.7500 0.7252
Ir1 0.2213 0.2500 0.9423
Se2 0.6194 0.2500 0.2748
H2 0.1057 0.7500 0.2310
Ir2 0.7787 0.7500 0.0577